Record 1
Material: BeIr3
Method: DFT, PBE-GGA
State: optimized geometry

energy relative to the elements: -151.0 meV/atom

Cell: 2.785 4.319 8.639 Å, 90.00 90.00 90.00°
Space group Immm (No. 71)
Asymmetric unit:
1 Be 0.000 0.000 0.000 [2 per cell]
2 Ir 0.000 0.000 0.500 [2 per cell]
3 Ir 0.000 0.500 0.284 [4 per cell]

=====

Record 2
Material: Sn3AsRu
Method: DFT, PBE-GGA
State: optimized geometry

energy relative to the elements: 202.5 meV/atom

Cell: 5.146 5.146 5.146 Å, 90.00 90.00 90.00°
Space group Pm-3m (No. 221)
Asymmetric unit:
1 Sn 0.000 0.000 0.500 [3 per cell]
2 As 0.500 0.500 0.500 [1 per cell]
3 Ru 0.000 0.000 0.000 [1 per cell]

=====

Record 3
Material: FeHg2Ir
Method: DFT, PBE-GGA
State: optimized geometry

energy relative to the elements: 567.0 meV/atom

Cell: 3.005 4.812 4.910 Å, 90.00 91.38 90.00°
Space group P2/m (No. 10)
Asymmetric unit:
1 Fe 0.000 0.000 0.000 [1 per cell]
2 Hg 0.247 0.500 0.751 [2 per cell]
3 Ir 0.500 0.000 0.500 [1 per cell]

=====

Record 4
Material: Ho4Te2PtSe
Method: DFT, PBE-GGA
State: optimized geometry

ΔE_f (raw): -1.41 eV per atom

Cell: 7.404 4.115 7.477 Å, 90.00 108.56 90.00°
Space group P2/m (No. 10)
Asymmetric unit:
1 Ho 0.220 0.000 0.209 [2 per cell]
2 Ho 0.250 0.500 0.778 [2 per cell]
3 Te 0.000 0.000 0.500 [1 per cell]
4 Te 0.500 0.500 0.500 [1 per cell]
5 Pt 0.000 0.500 0.000 [1 per cell]
6 Se 0.500 0.000 0.000 [1 per cell]

=====

Record 5
Material: SrCd3Pd
Method: DFT, PBE-GGA
State: optimized geometry

energy relative to the elements: -257.0 meV/atom

Cell: 5.229 5.229 5.229 Å, 90.00 90.00 90.00°
Space group Pm-3m (No. 221)
Asymmetric unit:
1 Sr 0.000 0.000 0.000 [1 per cell]
2 Cd 0.000 0.500 0.500 [3 per cell]
3 Pd 0.500 0.500 0.500 [1 per cell]

=====

Record 6
Material: Co2CuAu2
Method: DFT, PBE-GGA
State: optimized geometry

energy relative to the elements: 338.2 meV/atom

Cell: 6.218 6.218 3.838 Å, 90.00 90.00 90.00°
Space group P4/mbm (No. 127)
Asymmetric unit:
1 Co 0.126 0.374 0.000 [4 per cell]
2 Cu 0.000 0.000 0.000 [2 per cell]
3 Au 0.174 0.674 0.500 [4 per cell]

=====

Record 7
Material: KIn2HgBi2
Method: DFT, PBE-GGA
State: optimized geometry

energy relative to the elements: -86.5 meV/atom

Cell: 7.087 12.274 5.008 Å, 90.00 90.00 90.00°
Space group Pnnm (No. 58)
Asymmetric unit:
1 K 0.000 0.000 0.000 [2 per cell]
2 In 0.243 0.183 0.500 [4 per cell]
3 Hg 0.000 0.500 0.000 [2 per cell]
4 Bi 0.193 0.816 0.500 [4 per cell]

=====

Record 8
Material: Cs2Te2I
Method: DFT, PBE-GGA
State: optimized geometry

ΔE_f (raw): -0.98 eV per atom

Cell: 4.574 4.574 21.882 Å, 90.00 90.00 90.00°
Space group I4/mmm (No. 139)
Asymmetric unit:
1 Cs 0.000 0.000 0.105 [4 per cell]
2 Te 0.000 0.500 0.250 [4 per cell]
3 I 0.000 0.000 0.500 [2 per cell]

=====

no.,magnetization (μB/atom),V (Å³/cell)
1,0.000,103.9
2,0.000,136.3
3,0.816,71.0
4,0.000,216.0
5,0.000,143.0
6,0.662,148.4
7,0.000,435.6
8,0.000,457.9